Density functional theory data (PBE) for a geometry-optimized KFeBr4 structure.

a = 7.7393 Å, b = 10.8272 Å, c = 10.6221 Å
α = 90.00°, β = 90.00°, γ = 90.00°
Closest atoms and distances in Å follow each position.
Fractional coordinates of all 24 atoms:
K  0.1708  0.2500  0.2500  8 Br 3.46-3.53
K  0.3292  0.7500  0.2500  8 Br 3.46-3.53
K  0.6708  0.2500  0.7500  8 Br 3.46-3.53
K  0.8292  0.7500  0.7500  8 Br 3.46-3.53
Fe  0.2500  0.0000  0.6795  4 Br 2.36-2.37
Fe  0.2500  0.5000  0.8205  4 Br 2.36-2.37
Fe  0.7500  0.0000  0.3205  4 Br 2.36-2.37
Fe  0.7500  0.5000  0.1795  4 Br 2.36-2.37
Br  0.0065  0.0374  0.8092  1 Fe 2.37
Br  0.0065  0.4626  0.6908  1 Fe 2.37
Br  0.1847  0.6745  0.9441  1 Fe 2.36
Br  0.1847  0.8255  0.5559  1 Fe 2.36
Br  0.3153  0.1745  0.5559  1 Fe 2.36
Br  0.3153  0.3255  0.9441  1 Fe 2.36
Br  0.4935  0.5374  0.6908  1 Fe 2.37
Br  0.4935  0.9626  0.8092  1 Fe 2.37
Br  0.5065  0.0374  0.1908  1 Fe 2.37
Br  0.5065  0.4626  0.3092  1 Fe 2.37
Br  0.6847  0.6745  0.0559  1 Fe 2.36
Br  0.6847  0.8255  0.4441  1 Fe 2.36
Br  0.8153  0.1745  0.4441  1 Fe 2.36
Br  0.8153  0.3255  0.0559  1 Fe 2.36
Br  0.9935  0.5374  0.3092  1 Fe 2.37
Br  0.9935  0.9626  0.1908  1 Fe 2.37

Size of the total moment in μB/f.u.: 5.0
Raw formation energy in meV/atom: -945
Density in g/cm3: 3.094
Total DFT energy (no corrections) in eV/cell: -87.69

=====

Density functional theory data (PBE) for a geometry-optimized K2FeBr structure.

a = 5.8792 Å, b = 5.8792 Å, c = 3.9639 Å
α = 90.10°, β = 90.10°, γ = 89.88°
Closest atoms and distances in Å follow each position.
Fractional coordinates of all 4 atoms:
K  0.0000  0.5000  0.0000  4 Fe 3.54-3.55, 4 Br 3.54-3.55, 2 K 3.96
K  0.5000  0.0000  0.0000  4 Fe 3.54-3.55, 4 Br 3.54-3.55, 2 K 3.96
Fe  0.0000  0.0000  0.5000  8 K 3.54-3.55, 2 Fe 3.96
Br  0.5000  0.5000  0.5000  8 K 3.54-3.55, 2 Br 3.96

Size of the total moment in μB/f.u.: 3.1
Raw formation energy in meV/atom: 10
Density in g/cm3: 2.593
Total DFT energy (no corrections) in eV/cell: -12.29

=====

Density functional theory data (PBE) for a geometry-optimized KFeBr5 structure.

a = 9.2569 Å, b = 9.2569 Å, c = 9.0798 Å
α = 119.31°, β = 119.31°, γ = 87.87°
Closest atoms and distances in Å follow each position.
Fractional coordinates of all 14 atoms:
K  0.0557  0.9443  0.7500  8 Br 3.46-3.52
K  0.9443  0.0557  0.2500  8 Br 3.46-3.52
Fe  0.0000  0.5000  0.0000  6 Br 2.45-2.61
Fe  0.5000  0.0000  0.5000  6 Br 2.45-2.61
Br  0.0779  0.3202  0.1410  1 Fe 2.45
Br  0.0781  0.3217  0.7574  1 Fe 2.45
Br  0.3202  0.0779  0.6410  1 Fe 2.45
Br  0.3210  0.6790  0.2500  2 Fe 2.61
Br  0.3217  0.0781  0.2574  1 Fe 2.45
Br  0.6783  0.9219  0.7426  1 Fe 2.45
Br  0.6790  0.3210  0.7500  2 Fe 2.61
Br  0.6798  0.9221  0.3590  1 Fe 2.45
Br  0.9219  0.6783  0.2426  1 Fe 2.45
Br  0.9221  0.6798  0.8590  1 Fe 2.45

Size of the total moment in μB/f.u.: 4.1
Raw formation energy in meV/atom: -660
Density in g/cm3: 2.880
Total DFT energy (no corrections) in eV/cell: -45.08

=====

Density functional theory data (PBE) for a geometry-optimized KFe2Br structure.

a = 3.9913 Å, b = 3.9913 Å, c = 6.6213 Å
α = 90.00°, β = 90.00°, γ = 90.00°
Closest atoms and distances in Å follow each position.
Fractional coordinates of all 4 atoms:
K  0.0000  0.0000  0.0000  4 Br 2.82
Fe  0.0000  0.5000  0.5000  4 Fe 2.82
Fe  0.5000  0.0000  0.5000  4 Fe 2.82
Br  0.5000  0.5000  0.0000  4 K 2.82

Size of the total moment in μB/f.u.: 6.5
Raw formation energy in meV/atom: 641
Density in g/cm3: 3.632
Total DFT energy (no corrections) in eV/cell: -17.13